TeRuS2 | Alexandria via LeMat-Bulk | PBEsol | relaxed; E = -87.9 eV per cell; spin magnetization = 0.000 μB per cell; formation energy from raw total energies = 125 meV per atom
1.0
6.441 0.000 0.000
0.000 6.441 0.000
0.000 0.000 7.933
Te Ru S
4 4 8
Direct
0.000 0.000 0.000
0.000 0.500 0.250
0.500 0.000 0.750
0.500 0.500 0.500
0.000 0.000 0.500
0.000 0.500 0.750
0.500 0.000 0.250
0.500 0.500 0.000
0.179 0.750 0.625
0.250 0.179 0.375
0.250 0.321 0.875
0.321 0.750 0.125
0.679 0.250 0.125
0.750 0.679 0.875
0.750 0.821 0.375
0.821 0.250 0.625